Record 1
Here is an optimized crystal structure of LaTb2Ni2B2N3 from OQMD. Energies are from PBE-GGA.

Values from the calculation:
- Density: 8.176 Mg/m³
- E_tot: -149.5 eV/cell
- Spin magnetization: 0.00 μB per atom

Cell: 3.5548 3.5548 20.5023 Å, 90.00 90.00 90.00°
Space group I4/mmm (No. 139)
Asymmetric unit:
La (0.0000, 0.0000, 0.0000)
Tb (0.0000, 0.0000, 0.3730)
Ni (0.0000, 0.5000, 0.2500)
B (0.0000, 0.0000, 0.1928)
N (0.0000, 0.0000, 0.1221)
N (0.0000, 0.0000, 0.5000)

Record 2
Here is an optimized crystal structure of LaTmNi2B2N2 from OQMD. Energies are from PBE-GGA.

Values from the calculation:
- Density: 8.172 Mg/m³
- E_tot: -58.5 eV/cell
- Spin magnetization: 0.00 μB per atom

Cell: 3.5818 3.5818 7.5212 Å, 90.00 90.00 90.00°
Space group P4mm (No. 99)
Asymmetric unit:
La (0.0000, 0.0000, 0.0000)
Tm (0.5000, 0.5000, 0.3406)
Ni (0.0000, 0.5000, 0.6667)
B (0.0000, 0.0000, 0.5177)
B (0.5000, 0.5000, 0.8298)
N (0.0000, 0.0000, 0.3255)
N (0.5000, 0.5000, 0.0255)

Record 3
Here is an optimized crystal structure of LaYNi2B2N2 from OQMD. Energies are from PBE-GGA.

Values from the calculation:
- Density: 6.675 Mg/m³
- E_tot: -60.5 eV/cell
- Spin magnetization: 0.00 μB per atom

Cell: 3.6071 3.6071 7.5493 Å, 90.00 90.00 90.00°
Space group P4mm (No. 99)
Asymmetric unit:
La (0.0000, 0.0000, 0.0000)
Y (0.5000, 0.5000, 0.3419)
Ni (0.0000, 0.5000, 0.6682)
B (0.0000, 0.0000, 0.5193)
B (0.5000, 0.5000, 0.8278)
N (0.0000, 0.0000, 0.3271)
N (0.5000, 0.5000, 0.0217)

> Look up the E_tot of the second one.

-58.5 eV/cell

> Number 2 is which compound?

LaTmNi2B2N2